# 1
Crystalline LaSc2Mn at its relaxed geometry. Source: Alexandria, functional PBE-GGA.

Values from the calculation:
* space-group type: No. 225
* total energy: -6.256 eV/atom
* DOS at the Fermi energy: 7.39 states/eV/cell
* energy relative to the lowest polymorph listed for this composition: 353 meV per atom
* formation energy: 0.434 eV/atom

a = 4.941 Å, b = 4.941 Å, c = 4.941 Å
α = 60.00°, β = 60.00°, γ = 60.00°
Fractional coordinates of all 4 atoms:
Mn (0.000, 0.000, 0.000)
Sc (0.250, 0.250, 0.250)
Sc (0.750, 0.750, 0.750)
La (0.500, 0.500, 0.500)

---

# 2
Crystalline La2Ho5Tl3 at its relaxed geometry. Source: Alexandria, functional PBE-GGA.

Values from the calculation:
* space-group type: No. 72
* total energy: -4.047 eV/atom
* DOS at the Fermi energy: 26.96 states/eV/cell
* formation energy: -0.063 eV/atom

a = 6.771 Å, b = 10.425 Å, c = 10.425 Å
α = 90.89°, β = 71.05°, γ = 71.05°
Site moments in Bohr magnetons follow the coordinates.
Fractional coordinates of all 20 atoms:
La (0.146, 0.562, 0.147)  0.07
La (0.646, 0.147, 0.562)  0.07
La (0.354, 0.853, 0.438)  0.07
La (0.854, 0.438, 0.853)  0.07
Ho (0.750, 0.500, 0.500)  0.26
Ho (0.011, 0.239, 0.239)  0.10
Ho (0.489, 0.761, 0.761)  0.10
Ho (0.077, 0.084, 0.762)  0.03
Ho (0.511, 0.239, 0.239)  0.10
Ho (0.989, 0.761, 0.761)  0.10
Ho (0.250, 0.500, 0.500)  0.26
Ho (0.577, 0.762, 0.084)  0.03
Ho (0.923, 0.916, 0.238)  0.03
Ho (0.423, 0.238, 0.916)  0.03
Tl (0.866, 0.776, 0.492)  0.01
Tl (0.250, 0.000, 0.000)  0.00
Tl (0.134, 0.224, 0.508)  0.01
Tl (0.634, 0.508, 0.224)  0.01
Tl (0.750, 0.000, 0.000)  0.00
Tl (0.366, 0.492, 0.776)  0.01

---

# 3
Crystalline Ac2Ga3AgRh4 at its relaxed geometry. Source: Alexandria, functional PBE-GGA.

Values from the calculation:
* space-group type: No. 115
* total energy: -5.625 eV/atom
* DOS at the Fermi energy: 3.57 states/eV/cell
* formation energy: -0.669 eV/atom

a = 4.353 Å, b = 4.353 Å, c = 10.702 Å
α = 90.00°, β = 90.00°, γ = 90.00°
Fractional coordinates of all 10 atoms:
Ag (0.500, 0.500, 0.500)
Ac (0.000, 0.500, 0.755)
Ac (0.500, 0.000, 0.245)
Rh (0.000, 0.500, 0.350)
Rh (0.500, 0.500, 0.000)
Rh (0.500, 0.000, 0.650)
Rh (0.000, 0.000, 0.000)
Ga (0.000, 0.000, 0.500)
Ga (0.000, 0.500, 0.115)
Ga (0.500, 0.000, 0.885)

---

# 4
Crystalline TbPr14Al at its relaxed geometry. Source: Alexandria, functional PBE-GGA.

Values from the calculation:
* space-group type: No. 38
* total energy: -4.714 eV/atom
* DOS at the Fermi energy: 20.18 states/eV/cell
* formation energy: -0.008 eV/atom

a = 7.302 Å, b = 7.302 Å, c = 10.305 Å
α = 90.00°, β = 90.00°, γ = 90.01°
Fractional coordinates of all 16 atoms:
Pr (0.875, 0.125, 0.500)
Pr (0.631, 0.881, 0.241)
Pr (0.119, 0.369, 0.759)
Pr (0.631, 0.369, 0.242)
Pr (0.374, 0.124, 0.500)
Pr (0.375, 0.625, 0.500)
Pr (0.119, 0.881, 0.240)
Pr (0.376, 0.126, 0.000)
Pr (0.874, 0.624, 0.000)
Pr (0.119, 0.369, 0.241)
Pr (0.631, 0.881, 0.759)
Pr (0.876, 0.626, 0.500)
Pr (0.119, 0.881, 0.760)
Pr (0.631, 0.369, 0.758)
Tb (0.375, 0.625, 0.000)
Al (0.875, 0.125, 0.000)

---

# 5
Crystalline TlIn2RhCl at its relaxed geometry. Source: Alexandria, functional PBE-GGA.

Values from the calculation:
* space-group type: No. 123
* total energy: -3.860 eV/atom
* DOS at the Fermi energy: 0.79 states/eV/cell
* formation energy from raw total energies: -452 meV per atom

a = 5.185 Å, b = 5.185 Å, c = 5.302 Å
α = 90.00°, β = 90.00°, γ = 90.00°
Fractional coordinates of all 5 atoms:
Rh (0.000, 0.000, 0.000)
In (0.500, 0.000, 0.000)
In (0.000, 0.500, 0.000)
Tl (0.000, 0.000, 0.500)
Cl (0.500, 0.500, 0.500)

---

# 6
Crystalline La2TbCo at its relaxed geometry. Source: Alexandria, functional PBE-GGA.

Values from the calculation:
* space-group type: No. 123
* total energy: -5.329 eV/atom
* DOS at the Fermi energy: 6.26 states/eV/cell
* energy relative to the lowest polymorph listed for this composition: 171 meV per atom
* formation energy: 0.069 eV/atom

a = 3.566 Å, b = 3.566 Å, c = 8.979 Å
α = 90.00°, β = 90.00°, γ = 90.00°
Site moments in Bohr magnetons follow the coordinates.
Fractional coordinates of all 4 atoms:
La (0.000, 0.000, 0.809)  0.00
La (0.000, 0.000, 0.191)  0.00
Tb (0.500, 0.500, 0.500)  0.44
Co (0.500, 0.500, 0.000)  1.08

---

# 7
Crystalline GaSiN at its relaxed geometry. Source: Alexandria, functional PBE-GGA.

Values from the calculation:
* space-group type: No. 12
* total energy: -5.674 eV/atom
* DOS at the Fermi energy: 1.50 states/eV/cell
* energy relative to the lowest polymorph listed for this composition: 331 meV per atom
* formation energy from raw total energies: -82 meV per atom

a = 3.038 Å, b = 7.121 Å, c = 4.855 Å
α = 71.80°, β = 71.76°, γ = 77.68°
Fractional coordinates of all 6 atoms:
N (0.496, 0.327, 0.680)
N (0.504, 0.673, 0.320)
Si (0.654, 0.417, 0.274)
Si (0.346, 0.583, 0.726)
Ga (0.058, 0.815, 0.069)
Ga (0.942, 0.185, 0.931)

---

# 8
Crystalline SmEr2Sb2 at its relaxed geometry. Source: Alexandria, functional PBE-GGA.

Values from the calculation:
* space-group type: No. 12
* total energy: -5.055 eV/atom
* DOS at the Fermi energy: 4.21 states/eV/cell
* formation energy from raw total energies: -637 meV per atom

a = 4.483 Å, b = 4.482 Å, c = 7.868 Å
α = 106.64°, β = 106.64°, γ = 90.31°
Fractional coordinates of all 5 atoms:
Er (0.751, 0.249, 0.500)
Er (0.249, 0.751, 0.500)
Sm (0.000, 0.000, 0.000)
Sb (0.398, 0.398, 0.792)
Sb (0.602, 0.602, 0.208)

---

Among the records above, which one has the highest DOS at the Fermi energy?
La2Ho5Tl3